# 1
The following is a PBE calculation of a relaxed BeCl3 crystal, from the Alexandria database.

ΔE_f (raw) ... 0.627 eV per atom

Cell: 4.6352 4.6352 3.5310 Å, 90.00 90.00 90.00°
Sites, in units of the cell vectors:
Be: 0.0000 0.0000 0.0000
Cl: 0.0000 0.5000 0.5000
Cl: 0.5000 0.0000 0.5000
Cl: 0.5000 0.5000 0.0000

***

# 2
The following is a PBE calculation of a relaxed BaZn2Hg2 crystal, from the Alexandria database.

Cell: 8.5129 8.5129 3.7799 Å, 90.00 90.00 90.00°
Sites, in units of the cell vectors:
Ba: 0.0000 0.0000 0.0000
Ba: 0.5000 0.5000 0.0000
Zn: 0.1647 0.3353 0.5000
Zn: 0.3353 0.8353 0.5000
Zn: 0.6647 0.1647 0.5000
Zn: 0.8353 0.6647 0.5000
Hg: 0.1267 0.6267 0.0000
Hg: 0.3733 0.1267 0.0000
Hg: 0.6267 0.8733 0.0000
Hg: 0.8733 0.3733 0.0000

***

# 3
The following is a PBE calculation of a relaxed La2UAs3Ir4 crystal, from the Alexandria database.

Cell: 4.2123 4.2123 11.3340 Å, 90.00 90.00 90.00°
Sites, in units of the cell vectors:
La: 0.0000 0.5000 0.2279
La: 0.5000 0.0000 0.7721
U: 0.0000 0.0000 0.5000
As: 0.0000 0.5000 0.8721
As: 0.5000 0.0000 0.1279
As: 0.5000 0.5000 0.5000
Ir: 0.0000 0.0000 0.0000
Ir: 0.0000 0.5000 0.6527
Ir: 0.5000 0.0000 0.3473
Ir: 0.5000 0.5000 0.0000

***

# 4
The following is a PBE calculation of a relaxed Tl4HgRh crystal, from the Alexandria database.

Cell: 7.7480 7.7480 5.9150 Å, 101.99 101.99 106.91°
Sites, in units of the cell vectors:
Tl: 0.0614 0.7022 0.9227
Tl: 0.1786 0.3563 0.6387
Tl: 0.2978 0.9386 0.5773
Tl: 0.3563 0.1786 0.1387
Tl: 0.6437 0.8214 0.8613
Tl: 0.7022 0.0614 0.4227
Tl: 0.8214 0.6437 0.3613
Tl: 0.9386 0.2978 0.0773
Hg: 0.3914 0.6086 0.2500
Hg: 0.6086 0.3914 0.7500
Rh: 0.0070 0.9930 0.2500
Rh: 0.9930 0.0070 0.7500

***

# 5
The following is a PBE calculation of a relaxed CdIn2Te crystal, from the Alexandria database.

ΔE_f (raw) ... -0.018 eV per atom

Cell: 6.2532 6.2532 3.1491 Å, 90.00 90.00 112.98°
Sites, in units of the cell vectors:
Cd: 0.0000 0.0000 0.0000
In: 0.0000 0.5000 0.5000
In: 0.5000 0.0000 0.5000
Te: 0.5000 0.5000 0.0000

***

# 6
The following is a PBE calculation of a relaxed Cr2FeCu crystal, from the Alexandria database.

Cell: 8.6181 8.6181 8.6181 Å, 16.67 16.67 16.67°
Sites, in units of the cell vectors:
Cr: 0.0000 0.0000 0.0000
Cr: 0.2471 0.2471 0.2471
Fe: 0.7428 0.7428 0.7428
Cu: 0.4943 0.4943 0.4943

***

# 7
The following is a PBE calculation of a relaxed SiNi2Os crystal, from the Alexandria database.

ΔE_f (raw) ... -0.167 eV per atom

Cell: 4.8464 4.8464 4.8464 Å, 146.57 129.67 61.78°
Sites, in units of the cell vectors:
Si: 0.0000 0.0000 0.0000
Ni: 0.2275 0.7275 0.5000
Ni: 0.7725 0.2725 0.5000
Os: 0.5000 0.5000 0.0000

***

# 8
The following is a PBE calculation of a relaxed ScBe2Au crystal, from the Alexandria database.

Cell: 3.0325 3.0325 6.2570 Å, 90.00 90.00 90.00°
Sites, in units of the cell vectors:
Sc: 0.0000 0.0000 0.0000
Be: 0.5000 0.5000 0.2964
Be: 0.5000 0.5000 0.7036
Au: 0.0000 0.0000 0.5000

***

# 9
The following is a PBE calculation of a relaxed TiAsPd2Rh crystal, from the Alexandria database.

Cell: 4.5910 4.5910 4.5537 Å, 90.00 90.00 90.00°
Sites, in units of the cell vectors:
Ti: 0.0000 0.0000 0.0000
As: 0.5000 0.5000 0.5000
Pd: 0.0000 0.5000 0.5000
Pd: 0.5000 0.0000 0.5000
Rh: 0.5000 0.5000 0.0000

***

# 10
The following is a PBE calculation of a relaxed DyAlCuAg crystal, from the Alexandria database.

Cell: 4.7134 4.7134 4.7134 Å, 60.00 60.00 60.00°
Sites, in units of the cell vectors:
Dy: 0.0000 0.0000 0.0000
Al: 0.5000 0.5000 0.5000
Cu: 0.2500 0.2500 0.2500
Ag: 0.7500 0.7500 0.7500

***

# 11
The following is a PBE calculation of a relaxed Tm4Te2AsS crystal, from the Alexandria database.

ΔE_f (raw) ... -1.499 eV per atom

Cell: 7.0451 4.0840 7.3318 Å, 90.00 108.84 90.00°
Sites, in units of the cell vectors:
Tm: 0.2297 0.0000 0.2063
Tm: 0.2575 0.5000 0.7893
Tm: 0.7425 0.5000 0.2107
Tm: 0.7703 0.0000 0.7937
Te: 0.0000 0.0000 0.5000
Te: 0.5000 0.5000 0.5000
As: 0.5000 0.0000 0.0000
S: 0.0000 0.5000 0.0000

***

# 12
The following is a PBE calculation of a relaxed ZrCdInF6 crystal, from the Alexandria database.

ΔE_f (raw) ... -2.657 eV per atom

Cell: 6.4802 6.4802 5.1539 Å, 90.25 90.25 121.26°
Sites, in units of the cell vectors:
Zr: 0.0000 0.0000 0.0000
Cd: 0.3306 0.6694 0.0000
In: 0.6659 0.3341 0.5000
F: 0.0051 0.7395 0.2199
F: 0.0075 0.2672 0.7806
F: 0.2605 0.9949 0.7801
F: 0.2688 0.2754 0.2180
F: 0.7246 0.7312 0.7820
F: 0.7328 0.9925 0.2194

***

# 13
The following is a PBE calculation of a relaxed LiPbSN2 crystal, from the Alexandria database.

ΔE_f (raw) ... 1.245 eV per atom

Cell: 4.4487 4.4487 5.4005 Å, 90.00 90.00 90.00°
Sites, in units of the cell vectors:
Li: 0.0000 0.0000 0.0000
Pb: 0.5000 0.5000 0.5000
S: 0.5000 0.5000 0.0000
N: 0.0000 0.5000 0.5000
N: 0.5000 0.0000 0.5000

***

# 14
The following is a PBE calculation of a relaxed CrSn2Rh crystal, from the Alexandria database.

Cell: 6.0141 6.0141 6.0141 Å, 104.39 104.39 120.20°
Sites, in units of the cell vectors:
Cr: 0.0000 0.0000 0.0000
Cr: 0.7500 0.2500 0.5000
Sn: 0.1413 0.6250 0.0163
Sn: 0.3750 0.3913 0.5163
Sn: 0.6087 0.1250 0.9837
Sn: 0.8750 0.8587 0.4837
Rh: 0.2500 0.7500 0.5000
Rh: 0.5000 0.5000 0.0000

***

# 15
The following is a PBE calculation of a relaxed SiBi2F crystal, from the Alexandria database.

ΔE_f (raw) ... -0.296 eV per atom

Cell: 7.0128 7.0128 7.0128 Å, 124.01 124.01 83.18°
Sites, in units of the cell vectors:
Si: 0.0000 0.0000 0.0000
Si: 0.7500 0.2500 0.5000
Bi: 0.1452 0.6250 0.0202
Bi: 0.3750 0.3952 0.5202
Bi: 0.6048 0.1250 0.9798
Bi: 0.8750 0.8548 0.4798
F: 0.2500 0.7500 0.5000
F: 0.5000 0.5000 0.0000

***

# 16
The following is a PBE calculation of a relaxed Ba3Ga4Sb5 crystal, from the Alexandria database.

ΔE_f (raw) ... -0.558 eV per atom

Cell: 4.4682 13.6797 25.6739 Å, 90.00 90.00 90.00°
Sites, in units of the cell vectors:
Ba: 0.0000 0.0493 0.0000
Ba: 0.0000 0.1218 0.2174
Ba: 0.0000 0.2385 0.6090
Ba: 0.0000 0.5942 0.4834
Ba: 0.0000 0.6074 0.2747
Ba: 0.0000 0.7147 0.8772
Ba: 0.5000 0.2853 0.3772
Ba: 0.5000 0.3926 0.7747
Ba: 0.5000 0.4058 0.9834
Ba: 0.5000 0.7615 0.1090
Ba: 0.5000 0.8782 0.7174
Ba: 0.5000 0.9507 0.5000
Ga: 0.0000 0.0272 0.3797
Ga: 0.0000 0.1388 0.7783
Ga: 0.0000 0.2417 0.8633
Ga: 0.0000 0.3496 0.4680
Ga: 0.0000 0.4832 0.1073
Ga: 0.0000 0.6500 0.7193
Ga: 0.0000 0.7483 0.6340
Ga: 0.0000 0.9361 0.1200
Ga: 0.5000 0.0639 0.6200
Ga: 0.5000 0.2517 0.1340
Ga: 0.5000 0.3500 0.2193
Ga: 0.5000 0.5168 0.6073
Ga: 0.5000 0.6504 0.9680
Ga: 0.5000 0.7583 0.3633
Ga: 0.5000 0.8612 0.2783
Ga: 0.5000 0.9728 0.8797
Sb: 0.0000 0.1442 0.4667
Sb: 0.0000 0.2913 0.0764
Sb: 0.0000 0.3513 0.2789
Sb: 0.0000 0.4369 0.8784
Sb: 0.0000 0.4781 0.6664
Sb: 0.0000 0.6234 0.0313
Sb: 0.0000 0.8331 0.4119
Sb: 0.0000 0.8430 0.2164
Sb: 0.0000 0.9477 0.6096
Sb: 0.0000 0.9535 0.8177
Sb: 0.5000 0.0465 0.3177
Sb: 0.5000 0.0523 0.1096
Sb: 0.5000 0.1570 0.7164
Sb: 0.5000 0.1669 0.9119
Sb: 0.5000 0.3766 0.5313
Sb: 0.5000 0.5219 0.1664
Sb: 0.5000 0.5631 0.3784
Sb: 0.5000 0.6487 0.7789
Sb: 0.5000 0.7087 0.5764
Sb: 0.5000 0.8558 0.9667

***

# 17
The following is a PBE calculation of a relaxed AcNi4Sn crystal, from the Alexandria database.

Cell: 8.4982 8.4982 6.1106 Å, 90.00 90.00 152.24°
Sites, in units of the cell vectors:
Ac: 0.0962 0.9038 0.7500
Ac: 0.9038 0.0962 0.2500
Ni: 0.0785 0.9215 0.2500
Ni: 0.3477 0.6523 0.5617
Ni: 0.3477 0.6523 0.9383
Ni: 0.5000 0.5000 0.0000
Ni: 0.5000 0.5000 0.5000
Ni: 0.6523 0.3477 0.0617
Ni: 0.6523 0.3477 0.4383
Ni: 0.9215 0.0785 0.7500
Sn: 0.2343 0.7657 0.2500
Sn: 0.7657 0.2343 0.7500

***

# 18
The following is a PBE calculation of a relaxed ScTaMo crystal, from the Alexandria database.

Cell: 10.8002 9.9054 5.5678 Å, 83.51 65.68 30.81°
Sites, in units of the cell vectors:
Sc: 0.0313 0.7187 0.0313
Sc: 0.2813 0.9687 0.2813
Sc: 0.7187 0.0313 0.7187
Sc: 0.9687 0.2813 0.9687
Ta: 0.2901 0.2901 0.4599
Ta: 0.4599 0.4599 0.2901
Ta: 0.5401 0.5401 0.7099
Ta: 0.7099 0.7099 0.5401
Mo: 0.0003 0.0003 0.2497
Mo: 0.9997 0.9997 0.7503
Mo: 0.2497 0.2497 0.0003
Mo: 0.7503 0.7503 0.9997

***

# 19
The following is a PBE calculation of a relaxed LaCr4Br crystal, from the Alexandria database.

ΔE_f (raw) ... 0.856 eV per atom

Cell: 5.2252 5.2252 5.2252 Å, 60.00 60.00 60.00°
Sites, in units of the cell vectors:
La: 0.0000 0.0000 0.0000
Cr: 0.3692 0.3692 0.3692
Cr: 0.3692 0.3692 0.8924
Cr: 0.3692 0.8924 0.3692
Cr: 0.8924 0.3692 0.3692
Br: 0.7500 0.7500 0.7500

***

# 20
The following is a PBE calculation of a relaxed BaMg2W crystal, from the Alexandria database.

Cell: 3.1131 4.1711 8.0940 Å, 90.00 90.00 90.00°
Sites, in units of the cell vectors:
Ba: 0.0000 0.0000 0.0000
Mg: 0.0000 0.0000 0.5640
Mg: 0.5000 0.5000 0.3591
W: 0.5000 0.5000 0.7132

***

no.,total magnetization (μB/f.u.),total DFT energy (no corrections) (eV/atom),volume (Å³/atom)
1,0.8,-1.689,18.966
2,0.0,-1.066,27.393
3,2.3,-7.782,20.111
4,0.0,-2.810,26.532
5,0.0,-2.401,28.341
6,0.0,-7.689,11.486
7,0.0,-7.221,11.947
8,0.1,-4.376,14.385
9,0.0,-5.783,19.196
10,0.0,-4.139,18.511
11,0.0,-5.617,24.957
12,1.0,-5.260,20.556
13,3.2,-4.035,21.377
14,3.4,-5.992,20.372
15,0.0,-4.060,28.413
16,0.0,-3.766,32.693
17,0.0,-5.346,17.131
18,0.0,-9.457,19.852
19,0.0,-6.660,16.813
20,0.0,-3.738,26.275